Material: AcLa2Pr5Dy
Method: DFT, PBE
State: relaxed

Structure (extended XYZ):
```
18
Lattice="-4.547 4.547 8.059 4.547 -4.547 8.059 4.547 4.547 -8.059" Properties=species:S:1:pos:R:3 pbc="T T T"
Ac 0.000 0.000 4.030
Ac 0.000 0.000 12.089
La 5.614 1.067 0.000
La 1.067 3.479 0.000
La 3.479 1.067 8.059
La -1.067 3.479 8.059
Pr 0.000 0.000 0.000
Pr 2.626 1.921 -2.214
Pr 2.626 -1.921 5.846
Pr 2.626 1.921 2.214
Pr 2.626 -1.921 10.273
Pr 0.000 0.000 8.059
Pr 1.921 6.468 -2.214
Pr 1.921 2.626 5.846
Pr 1.921 6.468 2.214
Pr 1.921 2.626 10.273
Dy 4.547 0.000 4.030
Dy 0.000 4.547 4.030
```

Computed properties:
As for the total magnetization: 0.00 μB per formula unit. As for the space-group type: I4/mcm, No. 140. As for the total energy: -4.484 eV/atom.